Entry 1:
VASP calculation (PBE) on an optimized crystal structure of MgPaBi2O8.

Output
Mass density: 7.2 g/cm³
Formation energy from raw total energies: -1.715 eV per atom
Symmetry: No. 119

Cell lengths 6.2179, 6.2179, 6.2179 Å; angles 109.69, 109.69, 109.04 degrees
With the nearest neighbours (Å) after each atom.
Sites, in units of the cell vectors:
Pa: 0.0000 0.0000 0.0000  4 O 2.18
O: 0.2855 0.4793 0.1938  1 Bi 2.08, 1 Mg 2.21
O: 0.7327 0.0347 0.6980  1 Bi 2.10, 1 Pa 2.18
O: 0.9653 0.6633 0.6980  1 Bi 2.10, 1 Pa 2.18
O: 0.9082 0.7145 0.1938  1 Bi 2.08, 1 Mg 2.21
O: 0.3367 0.0347 0.3020  1 Bi 2.10, 1 Pa 2.18
O: 0.2855 0.0918 0.8062  1 Bi 2.08, 1 Mg 2.21
O: 0.5207 0.7145 0.8062  1 Bi 2.08, 1 Mg 2.21
O: 0.9653 0.2673 0.3020  1 Bi 2.10, 1 Pa 2.18
Bi: 0.5000 0.5000 0.0000  4 O 2.08
Bi: 0.7500 0.2500 0.5000  4 O 2.10
Mg: 0.2500 0.7500 0.5000  4 O 2.21

Entry 2:
VASP calculation (PBE) on an optimized crystal structure of Te2AsSeN.

Output
Mass density: 6.0 g/cm³
Formation energy from raw total energies: 1.048 eV per atom
Energy relative to the lowest polymorph listed for this composition: 158 meV per atom
Symmetry: No. 123

Cell lengths 5.6258, 5.6258, 3.7061 Å; angles 90.00, 90.00, 90.00 degrees
With the nearest neighbours (Å) after each atom.
Sites, in units of the cell vectors:
Se: 0.0000 0.0000 0.0000  2 N 1.85
Te: 0.0000 0.5000 0.0000  2 Se 2.81
Te: 0.5000 0.0000 0.0000  2 Se 2.81
N: 0.0000 0.0000 0.5000  2 Se 1.85
As: 0.5000 0.5000 0.5000  8 Te 3.37, 2 As 3.71